No. 1
The following is a PBE-GGA calculation of a relaxed LiAcNp crystal, from OQMD via LeMat-Bulk.

The energy above the lowest structure with this stoichiometry comes out at 0.289 eV/atom. The value obtained for the final energy is -60.1 eV for the cell shown.

The structure belongs to space group F-43m (No. 216); the cell edges are 7.1032, 7.1032 and 7.1032 Å and the angles 90.00°, 90.00° and 90.00°. Symmetry generates all atoms from Li at (0.0000, 0.0000, 0.0000), Ac at (0.2500, 0.2500, 0.2500) and Np at (0.0000, 0.0000, 0.5000).


No. 2
The following is a PBE-GGA calculation of a relaxed LiAcOs crystal, from OQMD via LeMat-Bulk.

The energy above the lowest structure with this stoichiometry comes out at 0.000 eV/atom. The value obtained for the final energy is -64.2 eV for the cell shown.

The structure belongs to space group F-43m (No. 216); the cell edges are 6.5947, 6.5947 and 6.5947 Å and the angles 90.00°, 90.00° and 90.00°. Symmetry generates all atoms from Li at (0.0000, 0.0000, 0.0000), Ac at (0.0000, 0.0000, 0.5000) and Os at (0.2500, 0.2500, 0.7500).


No. 3
The following is a PBE-GGA calculation of a relaxed Li3AcPd2 crystal, from OQMD via LeMat-Bulk.

The value obtained for the final energy is -92.5 eV for the cell shown.

The structure belongs to space group C2/m (No. 12); the cell edges are 15.3427, 4.1955 and 8.1594 Å and the angles 90.00°, 115.58° and 90.00°. Symmetry generates all atoms from Li at (0.0548, 0.0000, 0.3926), Li at (0.0899, 0.5000, 0.6654), Li at (0.1919, 0.5000, 0.4746), Ac at (0.1428, 0.0000, 0.0519), Pd at (0.0275, 0.5000, 0.1815) and Pd at (0.2044, 0.0000, 0.7211).


No. 4
The following is a PBE-GGA calculation of a relaxed LiAc2Pd6 crystal, from OQMD via LeMat-Bulk.

The value obtained for the final energy is -47.4 eV for the cell shown.

The structure belongs to space group P-3m1 (No. 164); the cell edges are 5.9423, 5.9423 and 5.8796 Å and the angles 90.00°, 90.00° and 120.00°. Symmetry generates all atoms from Li at (0.0000, 0.0000, 0.0000), Ac at (0.3333, 0.6667, 0.8045) and Pd at (0.1714, 0.3428, 0.3109).